Entry 1:
{"formula": "LaFeTc3", "functional": "PBE", "state": "optimized geometry", "lattice_angstrom": [[4.552, 0.000, 0.000], [0.000, 4.552, 0.000], [0.000, 0.000, 4.552]], "species": ["La", "Fe", "Tc", "Tc", "Tc"], "frac_coords": [[0.000, 0.000, 0.000], [0.500, 0.500, 0.500], [0.000, 0.500, 0.500], [0.500, 0.000, 0.500], [0.500, 0.500, 0.000]], "sg": "Pm-3m", "total_energy_ev_per_atom": -8.1942, "total_magnetization_mub_per_fu": 0.00, "e_above_lowest_polymorph_mev_per_atom": 0, "formation_energy_ev_per_atom": 0.70}

---

Entry 2:
{"formula": "LaFe2Tc", "functional": "PBE", "state": "optimized geometry", "lattice_angstrom": [[2.076, 1.199, 5.236], [-2.076, 1.199, 5.236], [0.000, -2.397, 5.236]], "species": ["La", "Fe", "Fe", "Tc"], "frac_coords": [[0.000, 0.000, 0.000], [0.191, 0.191, 0.191], [0.809, 0.809, 0.809], [0.500, 0.500, 0.500]], "sg": "R-3m", "total_energy_ev_per_atom": -7.9043, "total_magnetization_mub_per_fu": 2.77, "e_above_lowest_polymorph_mev_per_atom": 0, "formation_energy_ev_per_atom": 0.15}

---

Entry 3:
{"formula": "LaFe2Tc", "functional": "PBE", "state": "optimized geometry", "lattice_angstrom": [[3.133, 0.000, 0.000], [0.000, 4.217, 0.000], [-1.277, 0.000, 5.361]], "species": ["La", "Fe", "Fe", "Tc"], "frac_coords": [[0.000, 0.000, 0.000], [0.356, 0.000, 0.502], [0.384, 0.500, 0.734], [0.735, 0.500, 0.389]], "sg": "Pm", "total_energy_ev_per_atom": -7.6411, "total_magnetization_mub_per_fu": 4.31, "e_above_lowest_polymorph_mev_per_atom": 263, "formation_energy_ev_per_atom": 0.41}

---

Entry 4:
{"formula": "LaFeTc3", "functional": "PBE", "state": "optimized geometry", "lattice_angstrom": [[4.683, 0.000, 0.000], [0.000, 4.683, 0.000], [0.000, 0.000, 4.683]], "species": ["La", "Fe", "Tc", "Tc", "Tc"], "frac_coords": [[0.000, 0.000, 0.000], [0.500, 0.500, 0.500], [0.000, 0.000, 0.500], [0.000, 0.500, 0.000], [0.500, 0.000, 0.000]], "sg": "Pm-3m", "total_energy_ev_per_atom": -6.3036, "total_magnetization_mub_per_fu": 0.04, "e_above_lowest_polymorph_mev_per_atom": 1891, "formation_energy_ev_per_atom": 2.59}

---

Entry 5:
{"formula": "LaFe2Tc2", "functional": "PBE", "state": "optimized geometry", "lattice_angstrom": [[-2.085, 2.085, 5.005], [2.085, -2.085, 5.005], [2.085, 2.085, -5.005]], "species": ["La", "Fe", "Fe", "Tc", "Tc"], "frac_coords": [[0.000, 0.000, 0.000], [0.250, 0.750, 0.500], [0.750, 0.250, 0.500], [0.371, 0.371, 0.000], [0.629, 0.629, 0.000]], "sg": "I4/mmm", "total_energy_ev_per_atom": -8.2723, "total_magnetization_mub_per_fu": 0.00, "e_above_lowest_polymorph_mev_per_atom": 126, "formation_energy_ev_per_atom": 0.24}

---

Entry 6:
{"formula": "LaFe2Tc", "functional": "PBE", "state": "optimized geometry", "lattice_angstrom": [[2.980, 0.000, 0.000], [0.000, 2.998, 0.000], [0.000, 0.000, 7.246]], "species": ["La", "Fe", "Fe", "Tc"], "frac_coords": [[0.000, 0.000, 0.000], [0.500, 0.500, 0.315], [0.500, 0.500, 0.685], [0.000, 0.000, 0.500]], "sg": "Pmmm", "total_energy_ev_per_atom": -7.7043, "total_magnetization_mub_per_fu": 0.12, "e_above_lowest_polymorph_mev_per_atom": 200, "formation_energy_ev_per_atom": 0.35}

---

Entry 7:
{"formula": "LaFe2Tc", "functional": "PBE", "state": "optimized geometry", "lattice_angstrom": [[-2.341, 2.341, 7.855], [2.341, -2.341, 7.855], [2.341, 2.341, -7.855]], "species": ["La", "La", "Fe", "Fe", "Fe", "Fe", "Tc", "Tc"], "frac_coords": [[0.375, 0.625, 0.750], [0.625, 0.375, 0.250], [0.000, 0.000, 0.000], [0.000, 0.000, 0.500], [0.000, 0.500, 0.000], [0.500, 0.000, 0.500], [0.125, 0.875, 0.250], [0.875, 0.125, 0.750]], "sg": "I4_1/amd", "total_energy_ev_per_atom": -7.4719, "total_magnetization_mub_per_fu": 2.64, "e_above_lowest_polymorph_mev_per_atom": 432, "formation_energy_ev_per_atom": 0.58}

---

Entry 8:
{"formula": "LaFe2Tc", "functional": "PBE", "state": "optimized geometry", "lattice_angstrom": [[-1.504, 2.395, 4.686], [1.504, -2.395, 4.686], [1.504, 2.395, -4.686]], "species": ["La", "Fe", "Fe", "Tc"], "frac_coords": [[0.000, 0.000, 0.000], [0.501, 0.501, 0.000], [0.717, 0.217, 0.500], [0.277, 0.777, 0.500]], "sg": "Imm2", "total_energy_ev_per_atom": -7.5404, "total_magnetization_mub_per_fu": 4.26, "e_above_lowest_polymorph_mev_per_atom": 364, "formation_energy_ev_per_atom": 0.51}

---

Entry 9:
{"formula": "La2Fe2Tc", "functional": "PBE", "state": "optimized geometry", "lattice_angstrom": [[6.577, 0.000, 0.000], [0.000, 6.577, 0.000], [0.000, 0.000, 4.688]], "species": ["La", "La", "La", "La", "Fe", "Fe", "Fe", "Fe", "Tc", "Tc"], "frac_coords": [[0.184, 0.316, 0.000], [0.316, 0.816, 0.000], [0.684, 0.184, 0.000], [0.816, 0.684, 0.000], [0.125, 0.625, 0.500], [0.375, 0.125, 0.500], [0.625, 0.875, 0.500], [0.875, 0.375, 0.500], [0.000, 0.000, 0.500], [0.500, 0.500, 0.500]], "sg": "P4/mbm", "total_energy_ev_per_atom": -7.1372, "total_magnetization_mub_per_fu": 3.18, "formation_energy_ev_per_atom": 0.29}

---

Entry 10:
{"formula": "LaFe2Tc", "functional": "PBE", "state": "optimized geometry", "lattice_angstrom": [[0.000, 3.220, 3.220], [3.220, 0.000, 3.220], [3.220, 3.220, 0.000]], "species": ["La", "Fe", "Fe", "Tc"], "frac_coords": [[0.000, 0.000, 0.000], [0.250, 0.250, 0.250], [0.500, 0.500, 0.500], [0.750, 0.750, 0.750]], "sg": "F-43m", "total_energy_ev_per_atom": -7.5585, "total_magnetization_mub_per_fu": 5.71, "e_above_lowest_polymorph_mev_per_atom": 346, "formation_energy_ev_per_atom": 0.50}

---

Entry 11:
{"formula": "LaFe4Tc", "functional": "PBE", "state": "optimized geometry", "lattice_angstrom": [[0.000, 3.589, 3.589], [3.589, 0.000, 3.589], [3.589, 3.589, 0.000]], "species": ["La", "Fe", "Fe", "Fe", "Fe", "Tc"], "frac_coords": [[0.000, 0.000, 0.000], [0.376, 0.376, 0.376], [0.376, 0.376, 0.872], [0.376, 0.872, 0.376], [0.872, 0.376, 0.376], [0.750, 0.750, 0.750]], "sg": "F-43m", "total_energy_ev_per_atom": -7.8929, "total_magnetization_mub_per_fu": 11.84, "formation_energy_ev_per_atom": 0.30}

---

Entry 12:
{"formula": "LaFe2Tc", "functional": "PBE", "state": "optimized geometry", "lattice_angstrom": [[4.583, 0.000, 0.000], [0.000, 4.583, 0.000], [0.000, 0.000, 3.164]], "species": ["La", "Fe", "Fe", "Tc"], "frac_coords": [[0.000, 0.000, 0.000], [0.000, 0.500, 0.500], [0.500, 0.000, 0.500], [0.500, 0.500, 0.000]], "sg": "P4/mmm", "total_energy_ev_per_atom": -7.5333, "total_magnetization_mub_per_fu": 4.95, "e_above_lowest_polymorph_mev_per_atom": 371, "formation_energy_ev_per_atom": 0.52}

---

Entry 13:
{"formula": "LaZrFe2Tc", "functional": "PBE", "state": "optimized geometry", "lattice_angstrom": [[4.605, 0.000, 0.000], [0.000, 4.605, 0.000], [0.000, 0.000, 4.872]], "species": ["La", "Zr", "Fe", "Fe", "Tc"], "frac_coords": [[0.000, 0.000, 0.000], [0.500, 0.500, 0.000], [0.000, 0.500, 0.500], [0.500, 0.000, 0.500], [0.500, 0.500, 0.500]], "sg": "P4/mmm", "total_energy_ev_per_atom": -7.4541, "total_magnetization_mub_per_fu": 0.00, "formation_energy_ev_per_atom": 0.70}

---

Entry 14:
{"formula": "La2FeTe", "functional": "PBE", "state": "optimized geometry", "lattice_angstrom": [[2.165, 1.250, 7.522], [-2.165, 1.250, 7.522], [0.000, -2.499, 7.522]], "species": ["La", "La", "Fe", "Te"], "frac_coords": [[0.000, 0.000, 0.000], [0.175, 0.175, 0.175], [0.435, 0.435, 0.435], [0.751, 0.751, 0.751]], "raw_formation_energy_ev_per_atom": -0.36, "sg": "R3m", "total_energy_ev_per_atom": -5.7210, "total_magnetization_mub_per_fu": 0.00}

---

Entry 15:
{"formula": "La2FeTe", "functional": "PBE", "state": "optimized geometry", "lattice_angstrom": [[-2.304, 2.934, 4.081], [2.304, -2.934, 4.081], [2.304, 2.934, -4.081]], "species": ["La", "La", "Fe", "Te"], "frac_coords": [[0.221, 0.221, 0.000], [0.779, 0.779, 0.000], [0.000, 0.500, 0.500], [0.500, 0.000, 0.500]], "raw_formation_energy_ev_per_atom": -0.34, "sg": "Immm", "total_energy_ev_per_atom": -5.7026, "total_magnetization_mub_per_fu": 1.23}

---

Entry 16:
{"formula": "La2FeTe", "functional": "PBE", "state": "optimized geometry", "lattice_angstrom": [[2.617, -2.626, 0.000], [2.617, 2.626, 0.000], [0.000, 0.000, 8.508]], "species": ["La", "La", "Fe", "Te"], "frac_coords": [[0.000, 0.000, 0.000], [0.500, 0.500, 0.394], [0.500, 0.500, 0.780], [0.000, 0.000, 0.628]], "raw_formation_energy_ev_per_atom": -0.15, "sg": "Cmm2", "total_energy_ev_per_atom": -5.5147, "total_magnetization_mub_per_fu": 2.56}

---

Entry 17:
{"formula": "LaFe2Te2", "functional": "PBE", "state": "optimized geometry", "lattice_angstrom": [[8.012, 0.000, 0.000], [0.000, 8.012, 0.000], [0.000, 0.000, 3.220]], "species": ["La", "La", "Fe", "Fe", "Fe", "Fe", "Te", "Te", "Te", "Te"], "frac_coords": [[0.000, 0.000, 0.000], [0.500, 0.500, 0.000], [0.117, 0.383, 0.500], [0.383, 0.883, 0.500], [0.617, 0.117, 0.500], [0.883, 0.617, 0.500], [0.142, 0.642, 0.000], [0.358, 0.142, 0.000], [0.642, 0.858, 0.000], [0.858, 0.358, 0.000]], "raw_formation_energy_ev_per_atom": 0.20, "sg": "P4/mbm", "total_energy_ev_per_atom": -5.4247, "total_magnetization_mub_per_fu": 0.00, "e_above_lowest_polymorph_mev_per_atom": 548}

---

Entry 18:
{"formula": "La2FeTe", "functional": "PBE", "state": "optimized geometry", "lattice_angstrom": [[3.649, -2.107, 0.000], [3.649, 2.107, 0.000], [-2.423, 0.000, 7.813]], "species": ["La", "La", "Fe", "Te"], "frac_coords": [[0.240, 0.240, 0.218], [0.760, 0.760, 0.782], [0.500, 0.500, 0.000], [0.000, 0.000, 0.500]], "raw_formation_energy_ev_per_atom": -0.46, "sg": "C2/m", "total_energy_ev_per_atom": -5.8238, "total_magnetization_mub_per_fu": 0.95}

---

Entry 19:
{"formula": "LaFeTe4", "functional": "PBE", "state": "optimized geometry", "lattice_angstrom": [[0.000, 4.465, 4.465], [4.465, 0.000, 4.465], [4.465, 4.465, 0.000]], "species": ["La", "Fe", "Te", "Te", "Te", "Te"], "frac_coords": [[0.000, 0.000, 0.000], [0.250, 0.250, 0.250], [0.126, 0.625, 0.625], [0.625, 0.126, 0.625], [0.625, 0.625, 0.126], [0.625, 0.625, 0.625]], "raw_formation_energy_ev_per_atom": 0.30, "sg": "F-43m", "total_energy_ev_per_atom": -4.0282, "total_magnetization_mub_per_fu": 3.14}

---

Entry 20:
{"formula": "La3FeTe", "functional": "PBE", "state": "optimized geometry", "lattice_angstrom": [[5.257, 0.000, 0.000], [0.000, 5.257, 0.000], [0.000, 0.000, 5.257]], "species": ["La", "La", "La", "Fe", "Te"], "frac_coords": [[0.000, 0.000, 0.500], [0.000, 0.500, 0.000], [0.500, 0.000, 0.000], [0.000, 0.000, 0.000], [0.500, 0.500, 0.500]], "raw_formation_energy_ev_per_atom": -0.50, "sg": "Pm-3m", "total_energy_ev_per_atom": -5.7792, "total_magnetization_mub_per_fu": 0.00, "e_above_lowest_polymorph_mev_per_atom": 0}

---

Entry 21:
{"formula": "La2FeTe", "functional": "PBE", "state": "optimized geometry", "lattice_angstrom": [[-1.900, 2.418, 5.769], [1.900, -2.418, 5.769], [1.900, 2.418, -5.769]], "species": ["La", "La", "Fe", "Te"], "frac_coords": [[0.000, 0.000, 0.000], [0.718, 0.218, 0.500], [0.237, 0.737, 0.500], [0.411, 0.411, 0.000]], "raw_formation_energy_ev_per_atom": -0.41, "sg": "Imm2", "total_energy_ev_per_atom": -5.7763, "total_magnetization_mub_per_fu": 1.28}

---

Entry 22:
{"formula": "LaFe2Te2", "functional": "PBE", "state": "optimized geometry", "lattice_angstrom": [[-2.055, 2.055, 6.221], [2.055, -2.055, 6.221], [2.055, 2.055, -6.221]], "species": ["La", "Fe", "Fe", "Te", "Te"], "frac_coords": [[0.000, 0.000, 0.000], [0.250, 0.750, 0.500], [0.750, 0.250, 0.500], [0.361, 0.361, 0.000], [0.639, 0.639, 0.000]], "raw_formation_energy_ev_per_atom": -0.35, "sg": "I4/mmm", "total_energy_ev_per_atom": -5.9727, "total_magnetization_mub_per_fu": 0.00, "e_above_lowest_polymorph_mev_per_atom": 0}

---

Entry 23:
{"formula": "La4FeTe", "functional": "PBE", "state": "optimized geometry", "lattice_angstrom": [[0.000, 4.522, 4.522], [4.522, 0.000, 4.522], [4.522, 4.522, 0.000]], "species": ["La", "La", "La", "La", "Fe", "Te"], "frac_coords": [[0.125, 0.125, 0.125], [0.125, 0.125, 0.624], [0.125, 0.624, 0.125], [0.624, 0.125, 0.125], [0.500, 0.500, 0.500], [0.750, 0.750, 0.750]], "raw_formation_energy_ev_per_atom": 0.35, "sg": "F-43m", "total_energy_ev_per_atom": -4.8664, "total_magnetization_mub_per_fu": 2.08}

---

Entry 24:
{"formula": "La2FeTe", "functional": "PBE", "state": "optimized geometry", "lattice_angstrom": [[0.000, 3.711, 3.711], [3.711, 0.000, 3.711], [3.711, 3.711, 0.000]], "species": ["La", "La", "Fe", "Te"], "frac_coords": [[0.000, 0.000, 0.000], [0.250, 0.250, 0.250], [0.750, 0.750, 0.750], [0.500, 0.500, 0.500]], "raw_formation_energy_ev_per_atom": 0.03, "sg": "F-43m", "total_energy_ev_per_atom": -5.3364, "total_magnetization_mub_per_fu": 1.16}

---

Entry 25:
{"formula": "La2FeTe", "functional": "PBE", "state": "optimized geometry", "lattice_angstrom": [[3.857, 0.000, 0.000], [0.000, 3.857, 0.000], [0.000, 0.000, 7.352]], "species": ["La", "La", "Fe", "Te"], "frac_coords": [[0.000, 0.000, 0.228], [0.000, 0.000, 0.772], [0.500, 0.500, 0.000], [0.500, 0.500, 0.500]], "raw_formation_energy_ev_per_atom": -0.46, "sg": "P4/mmm", "total_energy_ev_per_atom": -5.8249, "total_magnetization_mub_per_fu": 1.04}

---

Entry 26:
{"formula": "La2FeTe", "functional": "PBE", "state": "optimized geometry", "lattice_angstrom": [[3.889, 0.000, 0.000], [0.000, 3.841, 0.000], [-0.824, 0.000, 7.397]], "species": ["La", "La", "Fe", "Te"], "frac_coords": [[0.066, 0.000, 0.272], [0.934, 0.000, 0.728], [0.500, 0.500, 0.500], [0.500, 0.500, 0.000]], "raw_formation_energy_ev_per_atom": -0.47, "sg": "P2/m", "total_energy_ev_per_atom": -5.8374, "total_magnetization_mub_per_fu": 1.07}

---

Entry 27:
{"formula": "La2FeTe", "functional": "PBE", "state": "optimized geometry", "lattice_angstrom": [[4.683, 0.000, 0.000], [0.000, 2.086, 5.922], [0.000, -2.086, 5.922]], "species": ["La", "La", "Fe", "Te"], "frac_coords": [[0.000, 0.000, 0.000], [0.500, 0.298, 0.298], [0.000, 0.806, 0.806], [0.500, 0.578, 0.578]], "raw_formation_energy_ev_per_atom": -0.50, "sg": "Amm2", "total_energy_ev_per_atom": -5.8640, "total_magnetization_mub_per_fu": 0.42}

---

Entry 28:
{"formula": "La2FeTe", "functional": "PBE", "state": "optimized geometry", "lattice_angstrom": [[4.399, 0.000, 0.000], [0.000, 4.399, 0.000], [0.000, 0.000, 6.523]], "species": ["La", "La", "Fe", "Te"], "frac_coords": [[0.000, 0.000, 0.000], [0.500, 0.500, 0.371], [0.500, 0.500, 0.029], [0.000, 0.000, 0.505]], "raw_formation_energy_ev_per_atom": -0.47, "sg": "P4mm", "total_energy_ev_per_atom": -5.8367, "total_magnetization_mub_per_fu": 0.39}

---

Entry 29:
{"formula": "La2FeTe", "functional": "PBE", "state": "optimized geometry", "lattice_angstrom": [[-3.801, 3.801, 4.093], [3.801, -3.801, 4.093], [3.801, 3.801, -4.093]], "species": ["La", "La", "La", "La", "Fe", "Fe", "Te", "Te"], "frac_coords": [[0.048, 0.625, 0.923], [0.375, 0.298, 0.423], [0.702, 0.125, 0.077], [0.875, 0.952, 0.577], [0.000, 0.000, 0.000], [0.750, 0.250, 0.500], [0.250, 0.750, 0.500], [0.500, 0.500, 0.000]], "raw_formation_energy_ev_per_atom": -0.36, "sg": "I-42d", "total_energy_ev_per_atom": -5.7214, "total_magnetization_mub_per_fu": 0.00}